{"formula": "RbCdIn2Ag", "functional": "PBE-GGA", "state": "optimized geometry", "ef_ev_per_fu": 0.395, "lattice": [[5.514, 0.000, 0.000], [0.000, 5.514, 0.000], [0.000, 0.000, 5.512]], "species": ["Rb", "Cd", "In", "In", "Ag"], "frac_coords": [[0.000, 0.000, 0.000], [0.500, 0.500, 0.000], [0.000, 0.500, 0.500], [0.500, 0.000, 0.500], [0.500, 0.500, 0.500]]}

---

{"formula": "Cd2InReAg", "functional": "PBE-GGA", "state": "optimized geometry", "ef_ev_per_fu": 7.398, "lattice": [[5.268, 0.000, 0.000], [0.000, 5.268, 0.000], [0.000, 0.000, 5.215]], "species": ["Cd", "Cd", "In", "Re", "Ag"], "frac_coords": [[0.000, 0.500, 0.000], [0.500, 0.000, 0.000], [0.000, 0.000, 0.000], [0.000, 0.000, 0.500], [0.500, 0.500, 0.500]]}

---

{"formula": "Cd2InAgS4", "functional": "PBE-GGA", "state": "optimized geometry", "e_form_raw_mev_per_atom": -512, "lattice": [[7.639, -2.083, 0.000], [7.639, 2.083, 0.000], [-3.317, 0.000, 6.452]], "species": ["Cd", "Cd", "In", "Ag", "S", "S", "S", "S"], "frac_coords": [[0.000, 0.000, 0.000], [0.507, 0.507, 0.525], [0.256, 0.256, 0.577], [0.751, 0.751, 0.101], [0.070, 0.070, 0.404], [0.320, 0.320, 0.321], [0.564, 0.564, 0.909], [0.807, 0.807, 0.807]]}

---

{"formula": "Cd2InAgS4", "functional": "PBE-GGA", "state": "optimized geometry", "e_form_raw_mev_per_atom": -533, "lattice": [[-2.968, 2.968, 5.817], [2.968, -2.968, 5.817], [2.968, 2.968, -5.817]], "species": ["Cd", "Cd", "In", "Ag", "S", "S", "S", "S"], "frac_coords": [[0.250, 0.750, 0.500], [0.750, 0.250, 0.500], [0.000, 0.000, 0.000], [0.500, 0.500, 0.000], [0.122, 0.122, 0.489], [0.367, 0.878, 0.000], [0.633, 0.633, 0.511], [0.878, 0.367, 0.000]]}

---

{"formula": "CdIn2AgS", "functional": "PBE-GGA", "state": "optimized geometry", "e_form_raw_mev_per_atom": 270, "lattice": [[5.302, 0.000, 0.000], [0.000, 5.302, 0.000], [0.000, 0.000, 5.193]], "species": ["Cd", "In", "In", "Ag", "S"], "frac_coords": [[0.000, 0.000, 0.000], [0.000, 0.500, 0.500], [0.500, 0.000, 0.500], [0.000, 0.000, 0.500], [0.500, 0.500, 0.000]]}

---

{"formula": "Cd2InAg7Sb2", "functional": "PBE-GGA", "state": "optimized geometry", "e_form_raw_mev_per_atom": 36, "lattice": [[3.039, -3.102, 0.000], [3.039, 3.102, 0.000], [-0.078, 0.000, 13.366]], "species": ["Cd", "Cd", "In", "Ag", "Ag", "Ag", "Ag", "Ag", "Ag", "Ag", "Sb", "Sb"], "frac_coords": [[0.000, 0.000, 0.186], [0.000, 0.000, 0.814], [0.500, 0.500, 0.500], [0.000, 0.000, 0.500], [0.000, 0.499, 0.346], [0.000, 0.501, 0.654], [0.245, 0.245, 0.000], [0.499, 0.000, 0.346], [0.501, 0.000, 0.654], [0.755, 0.755, 0.000], [0.500, 0.500, 0.185], [0.500, 0.500, 0.815]]}

---

{"formula": "CdInAgSb", "functional": "PBE-GGA", "state": "optimized geometry", "e_form_raw_mev_per_atom": 117, "lattice": [[0.000, 3.654, 3.654], [3.654, 0.000, 3.654], [3.654, 3.654, 0.000]], "species": ["Cd", "In", "Ag", "Sb"], "frac_coords": [[0.000, 0.000, 0.000], [0.750, 0.750, 0.750], [0.500, 0.500, 0.500], [0.250, 0.250, 0.250]]}

---

{"formula": "Sc4Cd2InAg", "functional": "PBE-GGA", "state": "optimized geometry", "ef_ev_per_fu": -2.594, "lattice": [[2.488, 1.436, 8.124], [-2.488, 1.436, 8.124], [0.000, -2.872, 8.124]], "species": ["Sc", "Sc", "Sc", "Sc", "Cd", "Cd", "In", "Ag"], "frac_coords": [[0.122, 0.122, 0.122], [0.373, 0.373, 0.373], [0.627, 0.627, 0.627], [0.878, 0.878, 0.878], [0.250, 0.250, 0.250], [0.750, 0.750, 0.750], [0.500, 0.500, 0.500], [0.000, 0.000, 0.000]]}

---

no.,calculated volume (Å³ per atom),M_tot (μB/f.u.)
1,33.51,0.00
2,28.95,2.95
3,25.67,0.00
4,25.62,0.00
5,29.19,0.00
6,21.00,0.00
7,24.39,0.00
8,21.77,0.00